A plane-wave DFT calculation with PBE with a Hubbard U was carried out for a relaxed structure of KFe2MoO6.

Calculated values
Density: 3.4 g/cm³
Magnetization: 9.00 μB per formula unit
Space group: No. 15
VASP energy: -6.45 eV/atom

Cell and atoms, written as POSCAR:
```
KFe2MoO6
1.0
4.685 -6.027 0.000
4.685 6.027 0.000
-2.865 0.000 5.953
K Fe Mo O
2 4 2 12
Direct
0.107 0.893 0.750
0.893 0.107 0.250
0.321 0.454 0.847
0.454 0.321 0.347
0.546 0.679 0.653
0.679 0.546 0.153
0.197 0.803 0.250
0.803 0.197 0.750
0.033 0.243 0.715
0.189 0.635 0.996
0.243 0.033 0.215
0.319 0.423 0.539
0.365 0.811 0.504
0.423 0.319 0.039
0.577 0.681 0.961
0.635 0.189 0.496
0.681 0.577 0.461
0.757 0.967 0.785
0.811 0.365 0.004
0.967 0.757 0.285
```